1.
{
  "formula": "MnIrRh",
  "functional": "GGA-PBE",
  "state": "optimized geometry",
  "polymorph_energy_ev_per_fu": 0.52,
  "sg": "Fmm2, No. 42",
  "e_form_ev_per_atom": 0.0939,
  "final_energy_ev_per_fu": -25.1,
  "cell": [[-2.461, 2.377, -6.091], [-3.124, -0.245, -5.968], [-1.931, 1.799, 0.605]],
  "species": ["Ir", "Mn", "Rh"],
  "frac_coords": [[0.992, 0.992, 0.008], [0.333, 0.333, 0.667], [0.674, 0.674, 0.326]]
}



2.
{
  "formula": "MnIr2Rh",
  "functional": "GGA-PBE",
  "state": "optimized geometry",
  "sg": "R3m, No. 160",
  "e_form_ev_per_atom": 0.2269,
  "final_energy_ev_per_fu": -33.3,
  "cell": [[-1.177, 1.078, 4.050], [-4.031, -0.862, 1.398], [-0.651, -3.113, 2.979]],
  "species": ["Mn", "Ir", "Ir", "Rh"],
  "frac_coords": [[0.500, 0.500, 0.500], [0.000, 0.000, 0.000], [0.250, 0.250, 0.251], [0.751, 0.751, 0.748]]
}



3.
{
  "formula": "MnIr2Rh",
  "functional": "GGA-PBE",
  "state": "optimized geometry",
  "sg": "Fm-3m, No. 225",
  "e_form_ev_per_atom": 0.2248,
  "final_energy_ev_per_fu": -33.3,
  "cell": [[-4.058, -1.403, -0.620], [-3.161, 1.244, 2.698], [-3.061, 2.752, -1.369]],
  "species": ["Ir", "Ir", "Rh", "Mn"],
  "frac_coords": [[0.250, 0.250, 0.250], [0.750, 0.750, 0.750], [0.500, 0.500, 0.500], [0.000, 0.000, 0.000]]
}



4.
{
  "formula": "MnIrRh",
  "functional": "GGA-PBE",
  "state": "optimized geometry",
  "polymorph_energy_ev_per_fu": 0.58,
  "sg": "Pmmm, No. 47",
  "e_form_ev_per_atom": 0.1135,
  "final_energy_ev_per_fu": -25.0,
  "cell": [[2.733, 0.000, 0.000], [0.000, 2.746, 0.000], [0.000, 0.000, 11.616]],
  "species": ["Mn", "Mn", "Ir", "Ir", "Rh", "Rh"],
  "frac_coords": [[0.500, 0.500, 0.847], [0.500, 0.500, 0.153], [0.000, 0.000, 0.000], [0.000, 0.500, 0.500], [0.500, 0.000, 0.662], [0.500, 0.000, 0.338]]
}



5.
{
  "formula": "MnIrRh",
  "functional": "GGA-PBE",
  "state": "optimized geometry",
  "polymorph_energy_ev_per_fu": 1.53,
  "sg": "Pmma, No. 51",
  "e_form_ev_per_atom": 0.4296,
  "final_energy_ev_per_fu": -24.1,
  "cell": [[-3.420, -2.282, 1.601], [1.978, -3.703, -1.052], [2.367, -0.122, 4.882]],
  "species": ["Mn", "Mn", "Ir", "Ir", "Rh", "Rh"],
  "frac_coords": [[0.000, 0.501, 0.250], [0.000, 0.499, 0.750], [0.000, 0.000, 0.000], [0.000, 0.000, 0.500], [0.500, 0.907, 0.250], [0.500, 0.093, 0.750]]
}



6.
{
  "formula": "MnIr2Rh",
  "functional": "GGA-PBE",
  "state": "optimized geometry",
  "sg": "Cmmm, No. 65",
  "e_form_ev_per_atom": 0.1555,
  "final_energy_ev_per_fu": -33.6,
  "cell": [[-0.148, 0.544, 2.647], [-2.160, -1.064, -1.236], [3.005, -8.274, 1.867]],
  "species": ["Ir", "Ir", "Mn", "Rh"],
  "frac_coords": [[0.000, 0.000, 0.012], [0.000, 0.000, 0.488], [0.500, 0.500, 0.250], [0.500, 0.500, 0.750]]
}



7.
{
  "formula": "MnIr2Rh",
  "functional": "GGA-PBE",
  "state": "optimized geometry",
  "sg": "P4mm, No. 99",
  "e_form_ev_per_atom": -0.0453,
  "final_energy_ev_per_fu": -34.4,
  "cell": [[-0.248, 2.729, -0.114], [-2.636, -0.269, -0.707], [-1.959, 0.126, 7.257]],
  "species": ["Ir", "Ir", "Mn", "Rh"],
  "frac_coords": [[0.000, 0.000, 0.001], [0.500, 0.500, 0.256], [0.000, 0.000, 0.500], [0.500, 0.500, 0.743]]
}



8.
{
  "formula": "Mn2Ir8Rh",
  "functional": "GGA-PBE",
  "state": "optimized geometry",
  "sg": "Immm, No. 71",
  "e_form_ev_per_atom": 0.0831,
  "final_energy_ev_per_fu": -95.7,
  "cell": [[-2.441, 1.656, -2.697], [1.695, -4.649, -4.388], [-4.130, -1.978, 5.485]],
  "species": ["Mn", "Mn", "Ir", "Ir", "Ir", "Ir", "Ir", "Ir", "Ir", "Ir", "Rh"],
  "frac_coords": [[0.200, 0.700, 0.400], [0.800, 0.300, 0.600], [0.652, 0.861, 0.305], [0.348, 0.556, 0.695], [0.157, 0.157, 0.313], [0.000, 0.298, 0.000], [0.843, 0.843, 0.687], [0.652, 0.444, 0.305], [0.348, 0.139, 0.695], [0.000, 0.702, 0.000], [0.500, 0.000, 0.000]]
}



9.
{
  "formula": "MnIr2Rh",
  "functional": "GGA-PBE",
  "state": "optimized geometry",
  "sg": "Pmmm, No. 47",
  "e_form_ev_per_atom": -0.0790,
  "final_energy_ev_per_fu": -34.6,
  "cell": [[-2.066, -1.666, 0.631], [0.606, -1.949, -3.164], [3.433, -3.250, 2.659]],
  "species": ["Ir", "Ir", "Mn", "Rh"],
  "frac_coords": [[0.000, 0.000, 0.006], [0.000, 0.000, 0.494], [0.500, 0.500, 0.250], [0.500, 0.500, 0.750]]
}



10.
{
  "formula": "MnIrRh4",
  "functional": "GGA-PBE",
  "state": "optimized geometry",
  "polymorph_energy_ev_per_fu": 0.00,
  "sg": "Cmmm, No. 65",
  "e_form_ev_per_atom": -0.1017,
  "final_energy_ev_per_fu": -48.0,
  "cell": [[-3.169, -2.105, 0.382], [1.209, -1.198, 3.419], [-1.062, 5.489, 2.298]],
  "species": ["Mn", "Ir", "Rh", "Rh", "Rh", "Rh"],
  "frac_coords": [[0.000, 0.000, 0.000], [0.500, 0.500, 0.000], [0.335, 0.000, 0.671], [0.665, 0.000, 0.329], [0.837, 0.500, 0.673], [0.163, 0.500, 0.327]]
}



11.
{
  "formula": "MnIr2Rh",
  "functional": "GGA-PBE",
  "state": "optimized geometry",
  "sg": "R3m, No. 160",
  "e_form_ev_per_atom": 0.0121,
  "final_energy_ev_per_fu": -34.2,
  "cell": [[8.800, -0.030, -0.018], [8.384, 2.674, -0.018], [8.384, 1.290, 2.343]],
  "species": ["Ir", "Ir", "Mn", "Rh"],
  "frac_coords": [[0.000, 0.000, 0.000], [0.247, 0.247, 0.247], [0.500, 0.500, 0.500], [0.753, 0.753, 0.753]]
}



12.
{
  "formula": "Mn2Ir4Rh",
  "functional": "GGA-PBE",
  "state": "optimized geometry",
  "sg": "Cccm, No. 66",
  "e_form_ev_per_atom": 0.2496,
  "final_energy_ev_per_fu": -59.4,
  "cell": [[-2.475, -2.897, 3.969], [4.961, -1.110, -2.104], [3.632, 5.008, 5.921]],
  "species": ["Mn", "Mn", "Mn", "Mn", "Ir", "Ir", "Ir", "Ir", "Ir", "Ir", "Ir", "Ir", "Rh", "Rh"],
  "frac_coords": [[0.784, 0.977, 0.000], [0.216, 0.023, 0.000], [0.023, 0.216, 0.500], [0.977, 0.784, 0.500], [0.757, 0.478, 0.000], [0.243, 0.522, 0.000], [0.522, 0.243, 0.500], [0.478, 0.757, 0.500], [0.000, 0.500, 0.713], [0.500, 0.000, 0.787], [0.000, 0.500, 0.287], [0.500, 0.000, 0.213], [0.500, 0.500, 0.750], [0.500, 0.500, 0.250]]
}



13.
{
  "formula": "MnIr2Rh",
  "functional": "GGA-PBE",
  "state": "optimized geometry",
  "sg": "Pmm2, No. 25",
  "e_form_ev_per_atom": -0.0975,
  "final_energy_ev_per_fu": -34.6,
  "cell": [[3.797, 0.000, 0.000], [0.000, 2.736, 0.001], [0.000, 2.729, 5.413]],
  "species": ["Ir", "Ir", "Mn", "Rh"],
  "frac_coords": [[0.000, 0.997, 0.003], [0.500, 0.250, 0.250], [0.000, 0.501, 0.499], [0.500, 0.752, 0.747]]
}



14.
{
  "formula": "MnIr2Rh",
  "functional": "GGA-PBE",
  "state": "optimized geometry",
  "sg": "I4/mmm, No. 139",
  "e_form_ev_per_atom": -0.1113,
  "final_energy_ev_per_fu": -34.7,
  "cell": [[-3.337, 2.866, 1.565], [-0.146, -0.211, 4.662], [3.540, 0.686, -2.966]],
  "species": ["Ir", "Ir", "Mn", "Rh"],
  "frac_coords": [[0.000, 0.000, 0.000], [0.500, 0.500, 0.000], [0.750, 0.250, 0.500], [0.250, 0.750, 0.500]]
}



15.
{
  "formula": "MnIr2Rh",
  "functional": "GGA-PBE",
  "state": "optimized geometry",
  "sg": "Cmmm, No. 65",
  "e_form_ev_per_atom": -0.1051,
  "final_energy_ev_per_fu": -34.7,
  "cell": [[4.646, 0.024, 0.000], [-1.512, 4.393, 0.000], [0.000, 0.000, 2.745]],
  "species": ["Ir", "Ir", "Mn", "Rh"],
  "frac_coords": [[0.000, 0.000, 0.000], [0.500, 0.500, 0.000], [0.500, 0.000, 0.500], [0.000, 0.500, 0.500]]
}



16.
{
  "formula": "MnIr5Rh4",
  "functional": "GGA-PBE",
  "state": "optimized geometry",
  "sg": "C2/m, No. 12",
  "e_form_ev_per_atom": 0.2332,
  "final_energy_ev_per_fu": -80.5,
  "cell": [[2.686, 0.000, -0.631], [-1.280, 6.344, -5.445], [1.132, -2.473, 10.847]],
  "species": ["Mn", "Ir", "Ir", "Ir", "Ir", "Ir", "Rh", "Rh", "Rh", "Rh"],
  "frac_coords": [[0.500, 0.000, 0.000], [0.166, 0.356, 0.332], [0.169, 0.792, 0.339], [0.831, 0.208, 0.661], [0.500, 0.500, 0.000], [0.834, 0.644, 0.668], [0.677, 0.094, 0.353], [0.020, 0.276, 0.040], [0.323, 0.906, 0.647], [0.980, 0.724, 0.960]]
}



17.
{
  "formula": "Mn2IrRh2",
  "functional": "GGA-PBE",
  "state": "optimized geometry",
  "polymorph_energy_ev_per_fu": 0.00,
  "sg": "P4/mbm, No. 127",
  "e_form_ev_per_atom": 0.1839,
  "final_energy_ev_per_fu": -41.0,
  "cell": [[6.961, 0.000, 0.000], [0.000, 6.961, 0.000], [0.000, 0.000, 2.720]],
  "species": ["Ir", "Ir", "Rh", "Rh", "Rh", "Rh", "Mn", "Mn", "Mn", "Mn"],
  "frac_coords": [[0.000, 0.000, 0.000], [0.500, 0.500, 0.000], [0.177, 0.677, 0.500], [0.677, 0.823, 0.500], [0.823, 0.323, 0.500], [0.323, 0.177, 0.500], [0.384, 0.884, 0.000], [0.884, 0.616, 0.000], [0.616, 0.116, 0.000], [0.116, 0.384, 0.000]]
}



18.
{
  "formula": "MnIr4Rh",
  "functional": "GGA-PBE",
  "state": "optimized geometry",
  "polymorph_energy_ev_per_fu": 0.00,
  "sg": "C2/m, No. 12",
  "e_form_ev_per_atom": -0.0919,
  "final_energy_ev_per_fu": -52.5,
  "cell": [[-0.641, 4.494, -1.217], [-1.754, 2.376, 3.665], [2.898, 2.062, 3.073]],
  "species": ["Mn", "Ir", "Ir", "Ir", "Ir", "Rh"],
  "frac_coords": [[0.000, 0.000, 0.000], [0.000, 0.331, 0.337], [0.500, 0.166, 0.668], [0.000, 0.669, 0.663], [0.500, 0.834, 0.332], [0.500, 0.500, 0.000]]
}



19.
{
  "formula": "MnIr2Ru4Rh",
  "functional": "GGA-PBE",
  "state": "optimized geometry",
  "sg": "P2/m, No. 10",
  "e_form_ev_per_atom": 0.0070,
  "final_energy_ev_per_fu": -71.3,
  "cell": [[2.710, 0.000, 0.000], [0.000, 4.660, 0.025], [0.000, 1.530, 8.821]],
  "species": ["Mn", "Ir", "Ir", "Ru", "Ru", "Ru", "Ru", "Rh"],
  "frac_coords": [[0.000, 0.500, 0.500], [0.000, 0.000, 0.000], [0.500, 0.000, 0.500], [0.000, 0.748, 0.746], [0.000, 0.252, 0.254], [0.500, 0.747, 0.253], [0.500, 0.253, 0.747], [0.500, 0.500, 0.000]]
}



20.
{
  "formula": "MnIrRuRh",
  "functional": "GGA-PBE",
  "state": "optimized geometry",
  "sg": "F-43m, No. 216",
  "e_form_ev_per_atom": 0.2576,
  "final_energy_ev_per_fu": -33.6,
  "cell": [[-3.399, 1.913, 1.918], [-3.713, 0.541, -2.194], [-3.506, -2.344, 1.050]],
  "species": ["Ru", "Ir", "Rh", "Mn"],
  "frac_coords": [[0.000, 0.000, 0.000], [0.250, 0.250, 0.250], [0.750, 0.750, 0.750], [0.500, 0.500, 0.500]]
}



21.
{
  "formula": "Mn2SbIrRh",
  "functional": "GGA-PBE",
  "state": "optimized geometry",
  "sg": "P4/mmm, No. 123",
  "e_form_raw_ev_per_atom": 1.47,
  "final_energy_ev_per_fu": -31.3,
  "cell": [[-3.702, -2.867, 1.261], [2.548, -1.651, 3.726], [-1.789, 3.538, 2.792]],
  "species": ["Sb", "Ir", "Rh", "Mn", "Mn"],
  "frac_coords": [[0.000, 0.000, 0.000], [0.000, 0.500, 0.000], [0.500, 0.500, 0.500], [0.000, 0.000, 0.500], [0.500, 0.000, 0.000]]
}



22.
{
  "formula": "TiMnIrRh",
  "functional": "GGA-PBE",
  "state": "optimized geometry",
  "sg": "F-43m, No. 216",
  "e_form_ev_per_atom": -0.5764,
  "final_energy_ev_per_fu": -35.6,
  "cell": [[-3.931, -0.418, 1.827], [-1.680, -3.961, 0.668], [-0.364, -1.556, 4.051]],
  "species": ["Ir", "Rh", "Mn", "Ti"],
  "frac_coords": [[0.500, 0.500, 0.500], [0.000, 0.000, 0.000], [0.750, 0.750, 0.750], [0.250, 0.250, 0.250]]
}



23.
{
  "formula": "Ti5MnIr2Rh2",
  "functional": "GGA-PBE",
  "state": "optimized geometry",
  "sg": "P4/mbm, No. 127",
  "e_form_ev_per_atom": -0.3403,
  "final_energy_ev_per_fu": -84.5,
  "cell": [[2.934, 0.000, 0.000], [0.000, 10.280, 0.000], [0.000, 0.000, 10.280]],
  "species": ["Ti", "Ti", "Ti", "Ti", "Ti", "Ti", "Ti", "Ti", "Ti", "Ti", "Mn", "Mn", "Ir", "Ir", "Ir", "Ir", "Rh", "Rh", "Rh", "Rh"],
  "frac_coords": [[0.500, 0.198, 0.009], [0.500, 0.802, 0.991], [0.500, 0.009, 0.802], [0.500, 0.698, 0.491], [0.500, 0.991, 0.198], [0.500, 0.302, 0.509], [0.500, 0.509, 0.698], [0.500, 0.491, 0.302], [0.500, 0.500, 0.000], [0.500, 0.000, 0.500], [0.000, 0.000, 0.000], [0.000, 0.500, 0.500], [0.000, 0.663, 0.163], [0.000, 0.337, 0.837], [0.000, 0.163, 0.337], [0.000, 0.837, 0.663], [0.000, 0.144, 0.644], [0.000, 0.856, 0.356], [0.000, 0.644, 0.856], [0.000, 0.356, 0.144]]
}



24.
{
  "formula": "TmMnIrRh",
  "functional": "GGA-PBE",
  "state": "optimized geometry",
  "sg": "F-43m, No. 216",
  "e_form_ev_per_atom": -0.4906,
  "final_energy_ev_per_fu": -31.8,
  "cell": [[4.557, 0.000, 0.000], [2.278, 3.946, 0.000], [2.278, 1.315, 3.721]],
  "species": ["Rh", "Ir", "Tm", "Mn"],
  "frac_coords": [[0.750, 0.750, 0.750], [0.250, 0.250, 0.250], [0.000, 0.000, 0.000], [0.500, 0.500, 0.500]]
}



25.
{
  "formula": "MnVIrRh",
  "functional": "GGA-PBE",
  "state": "optimized geometry",
  "sg": "Pmmm, No. 47",
  "e_form_ev_per_atom": -0.3681,
  "final_energy_ev_per_fu": -36.0,
  "cell": [[-2.091, 1.549, 2.583], [1.294, -2.531, 2.565], [2.882, 2.387, 0.901]],
  "species": ["Mn", "V", "Ir", "Rh"],
  "frac_coords": [[0.000, 0.500, 0.500], [0.000, 0.000, 0.000], [0.500, 0.500, 0.000], [0.500, 0.000, 0.500]]
}



26.
{
  "formula": "MnIrRhW",
  "functional": "GGA-PBE",
  "state": "optimized geometry",
  "sg": "Pmmm, No. 47",
  "e_form_ev_per_atom": -0.2181,
  "final_energy_ev_per_fu": -39.2,
  "cell": [[-3.087, -1.724, -1.417], [1.515, 0.196, -3.539], [1.665, -3.412, 0.524]],
  "species": ["Mn", "Ir", "Rh", "W"],
  "frac_coords": [[0.000, 0.500, 0.500], [0.500, 0.000, 0.500], [0.500, 0.500, 0.000], [0.000, 0.000, 0.000]]
}